A plane-wave DFT calculation with PBE-GGA was carried out for Ti2CuHAu after structural relaxation.

## Properties
ΔE to the lowest computed polymorph ... 0.54 eV/f.u.
Space group ... P4/mmm (123)
V ... 65.0 Å³/cell

Geometry as POSCAR:
```
Ti2CuHAu
1.0
-3.592 0.987 1.261
-0.813 -3.792 0.651
1.475 0.357 3.922
Ti H Au Cu
2 1 1 1
direct
0.500 0.000 0.000
0.000 0.500 0.000
0.000 0.000 0.000
0.000 0.000 0.500
0.500 0.500 0.500
```



A plane-wave DFT calculation with PBE-GGA was carried out for TiCu2HAu after structural relaxation.

## Properties
Space group ... P4/mmm (123)
V ... 61.4 Å³/cell
Calculated total energy ... -23.0 eV/cell

Geometry as POSCAR:
```
TiCu2HAu
1.0
3.975 0.000 0.000
0.000 3.975 0.000
0.000 0.000 3.889
H Ti Au Cu
1 1 1 2
direct
0.000 0.000 0.000
0.000 0.000 0.500
0.500 0.500 0.500
0.500 0.000 0.000
0.000 0.500 0.000
```



A plane-wave DFT calculation with PBE-GGA was carried out for Ti2CuHAu after structural relaxation.

## Properties
ΔE to the lowest computed polymorph ... 0.00 eV/f.u.
Space group ... P4/mmm (123)
V ... 64.3 Å³/cell

Geometry as POSCAR:
```
Ti2CuHAu
1.0
-0.072 3.945 0.633
-1.124 0.588 -3.789
-3.864 -0.248 1.108
Cu Ti H Au
1 2 1 1
direct
0.000 0.000 0.500
0.000 0.500 0.000
0.500 0.000 0.000
0.000 0.000 0.000
0.500 0.500 0.500
```



A plane-wave DFT calculation with PBE-GGA was carried out for V2CuHAu after structural relaxation.

## Properties
ΔE to the lowest computed polymorph ... 0.00 eV/f.u.
Space group ... P4/mmm (123)
V ... 58.5 Å³/cell

Geometry as POSCAR:
```
V2CuHAu
1.0
-0.870 -3.417 -1.229
2.888 -1.417 1.896
-2.472 -0.571 3.338
Cu H V Au
1 1 2 1
direct
0.000 0.000 0.500
0.000 0.000 0.000
0.000 0.500 0.000
0.500 0.000 0.000
0.500 0.500 0.500
```



Results for spin magnetization: 0.0, 1.1, 0.0, 0.0 (in μB per cell, following the order of the records).